Entry 1:
The following is a DFT calculation (PBE-GGA) of an optimized crystal structure of La5Nd6Dy2.

The structure in POSCAR format:
```
La5Nd6Dy2
1.0
-2.237 1.434 2.554
-9.197 -0.968 -7.510
-4.001 -19.441 7.407
La Nd Dy
10 12 4
direct
0.500 0.302 0.449
0.500 0.698 0.551
0.500 0.802 0.051
0.500 0.198 0.949
0.500 0.584 0.272
0.500 0.416 0.728
0.500 0.084 0.228
0.500 0.916 0.772
0.500 0.500 0.000
0.500 0.000 0.500
0.000 0.084 0.369
0.000 0.916 0.631
0.000 0.584 0.131
0.000 0.416 0.869
0.500 0.326 0.140
0.500 0.674 0.860
0.500 0.826 0.360
0.500 0.174 0.640
0.000 0.562 0.418
0.000 0.438 0.582
0.000 0.062 0.082
0.000 0.938 0.918
0.000 0.330 0.291
0.000 0.670 0.709
0.000 0.830 0.209
0.000 0.170 0.791
```

- Formation energy: 82 meV per atom
- Density of states at the Fermi level: 1.26 states/eV/atom


Entry 2:
The following is a DFT calculation (PBE-GGA) of an optimized crystal structure of La5Nd4Dy4.

The structure in POSCAR format:
```
La5Nd4Dy4
1.0
5.008 -0.002 1.273
2.499 9.360 0.639
0.197 0.002 9.714
La Nd Dy
5 4 4
direct
0.692 0.849 0.768
0.308 0.151 0.232
0.000 0.000 0.000
0.540 0.768 0.151
0.460 0.232 0.849
0.923 0.461 0.693
0.616 0.307 0.461
0.077 0.539 0.307
0.384 0.693 0.539
0.767 0.388 0.078
0.233 0.612 0.922
0.845 0.922 0.388
0.155 0.078 0.612
```

- Formation energy: 24 meV per atom
- Density of states at the Fermi level: 1.70 states/eV/atom


Entry 3:
The following is a DFT calculation (PBE-GGA) of an optimized crystal structure of La7NdDy3.

The structure in POSCAR format:
```
La7NdDy3
1.0
6.814 -0.328 0.009
-1.106 8.864 0.492
0.682 0.754 6.565
La Nd Dy
7 1 3
direct
0.224 0.207 0.292
0.289 0.856 0.550
0.735 0.412 0.019
0.265 0.588 0.981
0.000 0.500 0.500
0.711 0.144 0.450
0.776 0.793 0.708
0.500 0.500 0.500
0.927 0.833 0.180
0.500 0.000 0.000
0.073 0.167 0.820
```

- Formation energy: 123 meV per atom
- Density of states at the Fermi level: 1.65 states/eV/atom